This record from Alexandria via LeMat-Bulk describes a crystal of CaTa2W relaxed with PBEsol. The functional is SCAN.

Calculated values
The total energy comes out at -52.450 eV per atom. The value obtained for the formation energy is 0.6792 eV/atom.

abc: 9.4907 2.7239 5.9483
angles: 90.00 90.89 90.00
With the nearest neighbours (Å) after each atom.
Fractional positions:
Ca1 0.0000 0.0000 0.0000  2 Ca 2.72, 2 Ta 2.90
Ca2 0.5000 0.5000 0.0000  2 Ca 2.72, 2 Ta 2.90
Ta1 0.2457 0.0000 0.7169  4 Ta 2.72-2.92, 3 W 2.75-2.98, 1 Ca 2.90
Ta2 0.2543 0.5000 0.2831  4 Ta 2.72-2.92, 3 W 2.75-2.98, 1 Ca 2.90
Ta3 0.7457 0.5000 0.7169  4 Ta 2.72-2.92, 3 W 2.75-2.98, 1 Ca 2.90
Ta4 0.7543 0.0000 0.2831  4 Ta 2.72-2.92, 3 W 2.75-2.98, 1 Ca 2.90
W1 0.0000 0.5000 0.5000  2 W 2.72, 6 Ta 2.75-2.98
W2 0.5000 0.0000 0.5000  2 W 2.72, 6 Ta 2.75-2.98

---

This record from Alexandria via LeMat-Bulk describes a crystal of CaTaW2 relaxed with PBEsol. The functional is SCAN.

Calculated values
The total energy comes out at -53.089 eV per atom. The value obtained for the formation energy is 0.8167 eV/atom.

abc: 9.5568 2.6772 5.6843
angles: 90.00 90.55 90.00
With the nearest neighbours (Å) after each atom.
Fractional positions:
Ca1 0.0000 0.0000 0.0000  2 Ca 2.68, 1 Ta 2.83, 1 W 2.85
Ca2 0.5000 0.5000 0.0000  2 Ca 2.68, 1 Ta 2.83, 1 W 2.85
Ta1 0.2486 0.0000 0.7347  2 Ta 2.68, 3 W 2.81-2.95, 1 Ca 2.83
Ta2 0.7486 0.5000 0.7347  2 Ta 2.68, 3 W 2.81-2.95, 1 Ca 2.83
W1 0.0047 0.5000 0.4947  3 W 2.68, 1 Ta 2.81
W2 0.2503 0.5000 0.2716  3 W 2.68, 1 Ca 2.85, 2 Ta 2.95
W3 0.5047 0.0000 0.4947  3 W 2.68, 1 Ta 2.81
W4 0.7503 0.0000 0.2716  3 W 2.68, 1 Ca 2.85, 2 Ta 2.95

---

This record from Alexandria via LeMat-Bulk describes a crystal of CaTaW relaxed with PBEsol. The functional is SCAN.

Calculated values
The total energy comes out at -47.708 eV per atom. The value obtained for the formation energy is 0.9372 eV/atom.

abc: 2.8946 2.8946 7.9593
angles: 90.00 90.00 120.00
With the nearest neighbours (Å) after each atom.
Fractional positions:
Ca1 0.0000 0.0000 0.0000  6 Ca 2.89, 3 W 3.14
Ta1 0.3333 0.6667 0.6409  6 Ta 2.89, 3 W 2.96
W1 0.6667 0.3333 0.3347  6 W 2.89, 3 Ta 2.96, 3 Ca 3.14

---

This record from Alexandria via LeMat-Bulk describes a crystal of CaTaW2 relaxed with PBEsol. The functional is SCAN.

Calculated values
The total energy comes out at -52.849 eV per atom. The value obtained for the formation energy is 1.0570 eV/atom.

abc: 5.0095 5.0095 2.8771
angles: 90.00 90.00 90.00
With the nearest neighbours (Å) after each atom.
Fractional positions:
Ca1 0.0000 0.0000 0.0000  2 Ca 2.88, 8 W 2.89
Ta1 0.5000 0.5000 0.0000  2 Ta 2.88, 8 W 2.89
W1 0.0000 0.5000 0.5000  2 W 2.88, 4 Ta 2.89, 4 Ca 2.89
W2 0.5000 0.0000 0.5000  2 W 2.88, 4 Ta 2.89, 4 Ca 2.89

---

This record from Alexandria via LeMat-Bulk describes a crystal of CaTaW2 relaxed with PBEsol. The functional is SCAN.

Calculated values
The total energy comes out at -52.903 eV per atom. The value obtained for the formation energy is 1.0027 eV/atom.

abc: 3.1667 4.7176 4.7461
angles: 90.00 90.00 90.00
With the nearest neighbours (Å) after each atom.
Fractional positions:
Ca1 0.0000 0.0000 0.0000  4 Ta 2.84, 4 W 2.85, 2 Ca 3.17
Ta1 0.5000 0.5000 0.0000  4 Ca 2.84, 4 W 2.85, 2 Ta 3.17
W1 0.0000 0.5000 0.5000  6 W 2.84-3.17, 4 Ta 2.85
W2 0.5000 0.0000 0.5000  6 W 2.84-3.17, 4 Ca 2.85

---

This record from Alexandria via LeMat-Bulk describes a crystal of CaTaW relaxed with PBEsol. The functional is SCAN.

Calculated values
The total energy comes out at -47.807 eV per atom. The value obtained for the formation energy is 0.8379 eV/atom.

abc: 2.7257 4.4238 10.1675
angles: 90.00 90.00 90.00
With the nearest neighbours (Å) after each atom.
Fractional positions:
Ca1 0.0000 0.0000 0.0000  2 Ca 2.73
Ca2 0.5000 0.5000 0.5000  2 Ca 2.73
Ta1 0.0000 0.0000 0.6958  2 Ta 2.73, 4 W 2.85
Ta2 0.5000 0.5000 0.1958  2 Ta 2.73, 4 W 2.85
W1 0.0000 0.0000 0.3120  2 W 2.73, 4 Ta 2.85
W2 0.5000 0.5000 0.8120  2 W 2.73, 4 Ta 2.85

---

This record from Alexandria via LeMat-Bulk describes a crystal of CaTa2W relaxed with PBEsol. The functional is SCAN.

Calculated values
The total energy comes out at -52.414 eV per atom. The value obtained for the formation energy is 0.7157 eV/atom.

abc: 9.6337 2.7277 5.8727
angles: 90.00 91.11 90.00
With the nearest neighbours (Å) after each atom.
Fractional positions:
Ca1 0.0000 0.0000 0.0000  2 Ca 2.73, 1 Ta 2.92, 1 W 2.93
Ca2 0.5000 0.5000 0.0000  2 Ca 2.73, 1 Ta 2.92, 1 W 2.93
Ta1 0.0035 0.5000 0.4930  3 W 2.72-3.02, 5 Ta 2.73-2.98
Ta2 0.2455 0.0000 0.7147  5 Ta 2.73-2.98, 2 W 2.89, 1 Ca 2.92
Ta3 0.5035 0.0000 0.4930  3 W 2.72-3.02, 5 Ta 2.73-2.98
Ta4 0.7455 0.5000 0.7147  5 Ta 2.73-2.98, 2 W 2.89, 1 Ca 2.92
W1 0.2523 0.5000 0.2813  5 Ta 2.72-3.02, 2 W 2.73, 1 Ca 2.93
W2 0.7523 0.0000 0.2813  5 Ta 2.72-3.02, 2 W 2.73, 1 Ca 2.93

---

This record from Alexandria via LeMat-Bulk describes a crystal of CaTa2W relaxed with PBEsol. The functional is SCAN.

Calculated values
The total energy comes out at -52.356 eV per atom. The value obtained for the formation energy is 0.7732 eV/atom.

abc: 2.8886 2.8886 31.5206
angles: 90.00 90.00 120.00
With the nearest neighbours (Å) after each atom.
Fractional positions:
Ca1 0.0000 0.0000 0.0000  6 Ca 2.89, 3 W 3.17
Ca2 0.3333 0.6667 0.6667  6 Ca 2.89, 3 W 3.17
Ca3 0.6667 0.3333 0.3333  6 Ca 2.89, 3 W 3.17
Ta1 0.0000 0.0000 0.2429  9 Ta 2.89-3.03
Ta2 0.0000 0.0000 0.4960  9 Ta 2.89-3.03, 3 W 2.95
Ta3 0.3333 0.6667 0.1627  9 Ta 2.89-3.03, 3 W 2.95
Ta4 0.3333 0.6667 0.9096  9 Ta 2.89-3.03
Ta5 0.6667 0.3333 0.5763  9 Ta 2.89-3.03
Ta6 0.6667 0.3333 0.8294  9 Ta 2.89-3.03, 3 W 2.95
W1 0.0000 0.0000 0.7521  6 W 2.89, 3 Ta 2.95, 3 Ca 3.17
W2 0.3333 0.6667 0.4187  6 W 2.89, 3 Ta 2.95, 3 Ca 3.17
W3 0.6667 0.3333 0.0854  6 W 2.89, 3 Ta 2.95, 3 Ca 3.17

---

This record from Alexandria via LeMat-Bulk describes a crystal of Ca2YTa relaxed with PBEsol. The functional is SCAN.

Calculated values
The total energy comes out at -27.760 eV per atom. The value obtained for the formation energy is 0.6782 eV/atom.

abc: 11.6658 3.2623 5.7912
angles: 90.00 99.69 90.00
With the nearest neighbours (Å) after each atom.
Fractional positions:
Ca1 0.2368 0.0000 0.2319  6 Ca 3.20-3.47, 3 Ta 3.29-3.55, 1 Y 3.39
Ca2 0.2632 0.5000 0.7681  6 Ca 3.20-3.47, 3 Ta 3.29-3.55, 1 Y 3.39
Ca3 0.7368 0.5000 0.2319  6 Ca 3.20-3.47, 3 Ta 3.29-3.55, 1 Y 3.39
Ca4 0.7632 0.0000 0.7681  6 Ca 3.20-3.47, 3 Ta 3.29-3.55, 1 Y 3.39
Y1 0.0000 0.0000 0.5000  2 Y 3.26, 4 Ta 3.32, 6 Ca 3.39-3.59
Y2 0.5000 0.5000 0.5000  2 Y 3.26, 4 Ta 3.32, 6 Ca 3.39-3.59
Ta1 0.0000 0.5000 0.0000  2 Ta 3.26, 6 Ca 3.29-3.55, 4 Y 3.32
Ta2 0.5000 0.0000 0.0000  2 Ta 3.26, 6 Ca 3.29-3.55, 4 Y 3.32

---

This record from Alexandria via LeMat-Bulk describes a crystal of Ca2YTa relaxed with PBEsol. The functional is SCAN.

Calculated values
The total energy comes out at -27.615 eV per atom. The value obtained for the formation energy is 0.8232 eV/atom.

abc: 7.6230 7.6230 7.6230
angles: 90.00 90.00 90.00
With the nearest neighbours (Å) after each atom.
Fractional positions:
Ca1 0.2500 0.2500 0.2500  4 Y 3.30, 4 Ta 3.30
Ca2 0.2500 0.2500 0.7500  4 Ta 3.30, 4 Y 3.30
Ca3 0.2500 0.7500 0.2500  4 Ta 3.30, 4 Y 3.30
Ca4 0.2500 0.7500 0.7500  4 Ta 3.30, 4 Y 3.30
Ca5 0.7500 0.2500 0.2500  4 Ta 3.30, 4 Y 3.30
Ca6 0.7500 0.2500 0.7500  4 Ta 3.30, 4 Y 3.30
Ca7 0.7500 0.7500 0.2500  4 Ta 3.30, 4 Y 3.30
Ca8 0.7500 0.7500 0.7500  4 Ta 3.30, 4 Y 3.30
Y1 0.0000 0.0000 0.0000  8 Ca 3.30
Y2 0.0000 0.5000 0.5000  8 Ca 3.30
Y3 0.5000 0.0000 0.5000  8 Ca 3.30
Y4 0.5000 0.5000 0.0000  8 Ca 3.30
Ta1 0.0000 0.0000 0.5000  8 Ca 3.30
Ta2 0.0000 0.5000 0.0000  8 Ca 3.30
Ta3 0.5000 0.0000 0.0000  8 Ca 3.30
Ta4 0.5000 0.5000 0.5000  8 Ca 3.30

---

This record from Alexandria via LeMat-Bulk describes a crystal of Ca2YTa relaxed with PBEsol. The functional is SCAN.

Calculated values
The total energy comes out at -27.717 eV per atom. The value obtained for the formation energy is 0.7215 eV/atom.

abc: 4.9332 4.9332 8.9992
angles: 90.00 90.00 90.00
With the nearest neighbours (Å) after each atom.
Fractional positions:
Ca1 0.0000 0.0000 0.0000  4 Ta 3.34, 4 Ca 3.34, 4 Y 3.49
Ca2 0.0000 0.5000 0.2500  4 Ca 3.34, 4 Y 3.34, 4 Ta 3.49
Ca3 0.5000 0.0000 0.7500  4 Y 3.34, 4 Ca 3.34, 4 Ta 3.49
Ca4 0.5000 0.5000 0.5000  4 Ta 3.34, 4 Ca 3.34, 4 Y 3.49
Y1 0.0000 0.0000 0.5000  4 Ta 3.34, 8 Ca 3.34-3.49
Y2 0.5000 0.5000 0.0000  4 Ta 3.34, 8 Ca 3.34-3.49
Ta1 0.0000 0.5000 0.7500  4 Y 3.34, 8 Ca 3.34-3.49
Ta2 0.5000 0.0000 0.2500  8 Ca 3.34-3.49, 4 Y 3.34

---

This record from Alexandria via LeMat-Bulk describes a crystal of Ca2YTa relaxed with PBEsol. The functional is SCAN.

Calculated values
The total energy comes out at -27.727 eV per atom. The value obtained for the formation energy is 0.7110 eV/atom.

abc: 3.1632 5.7950 5.9258
angles: 90.00 94.32 90.00
With the nearest neighbours (Å) after each atom.
Fractional positions:
Ca1 0.2453 0.0000 0.2633  5 Ca 3.13-3.38, 2 Ta 3.34, 2 Y 3.42
Ca2 0.7547 0.0000 0.7367  5 Ca 3.13-3.38, 2 Ta 3.34, 2 Y 3.42
Y1 0.5000 0.5000 0.0000  2 Y 3.16, 4 Ta 3.25-3.46, 4 Ca 3.42
Ta1 0.0000 0.5000 0.5000  2 Ta 3.16, 4 Y 3.25-3.46, 4 Ca 3.34